[1]
HgBi3Pb (GGA-PBE, relaxed); space group = No. 14; energy above the lowest structure with this stoichiometry = 0.00 eV per formula unit; ΔE_f = 5.6 kJ per mole of atoms
1.0
-5.096 7.776 -0.232
-6.429 -4.027 6.229
3.258 3.401 5.561
Bi Pb Hg
12 4 4
Cartesian
-7.401 5.873 11.266 Bi
-3.567 2.111 5.777 Bi
-4.258 2.293 2.603 Bi
-4.460 -1.590 7.618 Bi
-4.008 4.857 8.956 Bi
-0.866 1.276 0.292 Bi
-4.600 1.313 8.968 Bi
-7.725 4.159 5.052 Bi
-3.667 5.836 2.591 Bi
-0.542 2.990 6.507 Bi
-4.699 5.039 5.781 Bi
-3.807 8.740 3.940 Bi
-7.167 3.557 8.388 Pb
-1.099 3.592 3.171 Pb
-3.584 8.200 7.353 Pb
-4.683 -1.050 4.206 Pb
-6.615 7.269 7.699 Hg
-1.095 6.393 5.095 Hg
-7.171 0.756 6.463 Hg
-1.651 -0.119 3.860 Hg



[2]
CrSBr (GGA-PBE, relaxed); E = -35.3 eV/cell; space group = No. 59
1.0
-3.237 0.045 -1.454
1.211 -3.617 -2.808
-2.794 -5.630 6.047
Cr Br S
2 2 2
Cartesian
-1.858 -6.773 3.928 Cr
-1.949 -0.643 -0.012 Cr
-0.906 -1.825 1.960 Br
-2.901 -5.591 1.956 Br
-1.194 -2.152 -1.738 S
-5.849 -5.219 4.200 S



[3]
EuZrIr2 (GGA-PBE, relaxed); space group = No. 123; energy above the lowest structure with this stoichiometry = 0.00 eV per formula unit; ΔE_f = -57.6 kJ per mole of atoms
1.0
-1.882 1.359 2.313
-0.575 -2.964 1.274
5.933 0.738 4.394
Zr Eu Ir
1 1 2
Cartesian
-1.228 -0.803 1.793 Zr
1.738 -0.434 3.991 Eu
4.673 0.581 3.461 Ir
1.260 0.157 0.933 Ir



Calculated values (Bohr magnetons per cell) of total magnetic moment for the records, taken in order: 0.00 6.00 6.87.